PBE+U FeTeO, relaxed; density = 5.1 Mg/m³; D(E_F) = 0.82 states/eV/f.u.; space group = No. 1; total moment = 3.9 μB per formula unit; electronic total energy = -5.02 eV per atom
1.0
3.2995 0.0000 0.0000
-1.6404 4.1823 0.0000
-1.6397 -1.6351 4.7450
Fe Te O
1 1 1
Direct
0.0000 0.0000 0.0000 Fe
0.9757 0.6028 0.3474 Te
0.3773 0.9685 0.7849 O